# 1
VASP calculation (PBE) on a relaxed structure of LiH2Cl.

Calculated values
* excess energy over the best structure of this formula in the dataset: 0.0 meV per atom
* spin magnetization: 0.1 μB/f.u.
* calculated total energy: -13.99 eV per cell
* space group: Pm, No. 6

a b c (Å): 3.964 3.985 5.178
angles (deg): 90.00 90.00 119.54
Fractional positions:
Li 0.564 0.323 0.000
H 0.631 0.457 0.500
H 0.499 0.242 0.500
Cl 0.897 0.986 0.000

***

# 2
VASP calculation (PBE) on a relaxed structure of BRh3Pb.

Calculated values
* excess energy over the best structure of this formula in the dataset: 105.8 meV per atom
* spin magnetization: 0.0 μB/f.u.
* E_form: -0.1176 eV per atom
* calculated total energy: -132.11 eV per cell
* space group: P2_1/c, No. 14

a b c (Å): 24.255 5.071 8.231
angles (deg): 90.00 162.12 90.00
Fractional positions:
Pb 0.173 0.132 0.909
Pb 0.827 0.868 0.091
Pb 0.327 0.632 0.591
Pb 0.673 0.368 0.409
B 0.558 0.754 0.748
B 0.442 0.246 0.252
B 0.942 0.254 0.752
B 0.058 0.746 0.248
Rh 0.310 0.922 0.992
Rh 0.690 0.078 0.008
Rh 0.190 0.422 0.508
Rh 0.810 0.578 0.492
Rh 0.424 0.410 0.439
Rh 0.576 0.590 0.561
Rh 0.076 0.910 0.061
Rh 0.924 0.090 0.939
Rh 0.513 0.888 0.858
Rh 0.487 0.112 0.142
Rh 0.987 0.388 0.642
Rh 0.013 0.612 0.358

***

# 3
VASP calculation (PBE) on a relaxed structure of YVCu3.

Calculated values
* excess energy over the best structure of this formula in the dataset: 919.0 meV per atom
* spin magnetization: 3.4 μB/f.u.
* E_form: 1.4650 eV per atom
* calculated total energy: -20.55 eV per cell
* space group: Pm-3m, No. 221

a b c (Å): 4.920 4.920 4.920
angles (deg): 90.00 90.00 90.00
Fractional positions:
Y 0.000 0.000 0.000
Cu 0.000 0.500 0.000
Cu 0.000 0.000 0.500
Cu 0.500 0.000 0.000
V 0.500 0.500 0.500

***

# 4
VASP calculation (PBE) on a relaxed structure of SiPt2Pb.

Calculated values
* spin magnetization: 0.0 μB/f.u.
* uncorrected formation energy: -0.10 eV per atom
* calculated total energy: -21.63 eV per cell
* space group: Immm, No. 71

a b c (Å): 5.079 5.079 5.079
angles (deg): 137.16 111.65 84.14
Fractional positions:
Pb 0.250 0.750 0.500
Pt 0.944 0.944 0.000
Pt 0.556 0.556 0.000
Si 0.750 0.250 0.500

***

# 5
VASP calculation (PBE) on a relaxed structure of Rb3DyNb2O9.

Calculated values
* spin magnetization: 2.1 μB/f.u.
* uncorrected formation energy: -2.26 eV per atom
* calculated total energy: -106.20 eV per cell
* space group: P-3m1, No. 164

a b c (Å): 6.017 6.017 7.406
angles (deg): 90.00 90.00 120.00
Fractional positions:
Rb 0.333 0.667 0.672
Rb 0.000 0.000 0.000
Rb 0.667 0.333 0.328
Dy 0.000 0.000 0.500
Nb 0.333 0.667 0.180
Nb 0.667 0.333 0.820
O 0.824 0.176 0.684
O 0.824 0.648 0.684
O 0.352 0.176 0.684
O 0.648 0.824 0.316
O 0.176 0.352 0.316
O 0.176 0.824 0.316
O 0.500 0.000 0.000
O 0.000 0.500 0.000
O 0.500 0.500 0.000

***

# 6
VASP calculation (PBE) on a relaxed structure of Tb5Hg3.

Calculated values
* spin magnetization: 2.1 μB/f.u.
* E_form: -0.3415 eV per atom
* calculated total energy: -26.79 eV per cell
* space group: P4/mmm, No. 123

a b c (Å): 3.691 3.691 16.321
angles (deg): 90.00 90.00 90.00
Fractional positions:
Tb 0.000 0.000 0.232
Tb 0.500 0.500 0.618
Tb 0.500 0.500 0.382
Tb 0.000 0.000 0.768
Tb 0.000 0.000 0.000
Hg 0.500 0.500 0.117
Hg 0.500 0.500 0.883
Hg 0.000 0.000 0.500

***

Copy entry 1 word for word.
VASP calculation (PBE) on a relaxed structure of LiH2Cl.

Calculated values
* excess energy over the best structure of this formula in the dataset: 0.0 meV per atom
* spin magnetization: 0.1 μB/f.u.
* calculated total energy: -13.99 eV per cell
* space group: Pm, No. 6

a b c (Å): 3.964 3.985 5.178
angles (deg): 90.00 90.00 119.54
Fractional positions:
Li 0.564 0.323 0.000
H 0.631 0.457 0.500
H 0.499 0.242 0.500
Cl 0.897 0.986 0.000